[1]
First-principles (GGA-PBE) data for a relaxed Ba2CeIn crystal, as listed in Alexandria.

Values from the calculation:
- energy of formation from the pure elements (eV/atom) = 0.2518
- total magnetization (μB per formula unit) = 1.785
- space-group type = No. 166
- total energy (eV per atom) = -2.878

Structure (POSCAR):
```
Ba2CeIn
1.0
1.946 1.123 13.017
-1.946 1.123 13.017
0.000 -2.247 13.017
Ba Ce In
2 1 1
direct
0.095 0.095 0.095
0.905 0.905 0.905
0.000 0.000 0.000
0.500 0.500 0.500
```



[2]
First-principles (GGA-PBE) data for a relaxed TlAgSn crystal, as listed in Alexandria.

Values from the calculation:
- energy of formation from the pure elements (eV/atom) = 0.0670
- total magnetization (μB per formula unit) = 0.000
- energy above the lowest structure with this stoichiometry (kJ per mole of atoms) = 3.40
- space-group type = No. 1
- total energy (eV per atom) = -3.006

Structure (POSCAR):
```
TlAgSn
1.0
3.629 0.000 0.000
0.000 5.697 0.000
-0.236 -0.076 7.637
Tl Ag Sn
2 2 2
direct
0.000 0.000 0.000
0.467 0.512 0.172
0.488 0.904 0.682
0.981 0.609 0.490
0.499 0.399 0.751
0.971 0.113 0.421
```



[3]
First-principles (GGA-PBE) data for a relaxed Na2ScTlS crystal, as listed in Alexandria.

Values from the calculation:
- total magnetization (μB per formula unit) = 1.589
- energy above the lowest structure with this stoichiometry (kJ per mole of atoms) = 47.98
- space-group type = No. 123
- total energy (eV per atom) = -3.089

Structure (POSCAR):
```
Na2ScTlS
1.0
4.972 0.000 0.000
0.000 4.972 0.000
0.000 0.000 6.345
Na Sc Tl S
2 1 1 1
direct
0.000 0.500 0.000
0.500 0.000 0.000
0.000 0.000 0.500
0.500 0.500 0.500
0.500 0.500 0.000
```



[4]
First-principles (GGA-PBE) data for a relaxed MgZr3Cd7 crystal, as listed in Alexandria.

Values from the calculation:
- energy of formation from the pure elements (eV/atom) = -0.0056
- total magnetization (μB per formula unit) = 0.000
- space-group type = No. 63
- total energy (eV per atom) = -3.064

Structure (POSCAR):
```
MgZr3Cd7
1.0
1.487 -13.067 0.000
1.487 13.067 0.000
0.000 0.000 12.759
Mg Zr Cd
2 6 14
direct
0.010 0.990 0.750
0.990 0.010 0.250
0.145 0.855 0.750
0.159 0.841 0.016
0.159 0.841 0.484
0.841 0.159 0.516
0.841 0.159 0.984
0.855 0.145 0.250
0.264 0.736 0.129
0.264 0.736 0.371
0.327 0.673 0.750
0.430 0.570 0.097
0.430 0.570 0.403
0.431 0.569 0.630
0.431 0.569 0.870
0.569 0.431 0.130
0.569 0.431 0.370
0.570 0.430 0.597
0.570 0.430 0.903
0.673 0.327 0.250
0.736 0.264 0.629
0.736 0.264 0.871
```



[5]
First-principles (GGA-PBE) data for a relaxed SrLiY2 crystal, as listed in Alexandria.

Values from the calculation:
- energy of formation from the pure elements (eV/atom) = 0.2615
- total magnetization (μB per formula unit) = 0.000
- energy above the lowest structure with this stoichiometry (kJ per mole of atoms) = 14.87
- space-group type = No. 123
- total energy (eV per atom) = -3.869

Structure (POSCAR):
```
SrLiY2
1.0
4.837 0.000 0.000
0.000 4.837 0.000
0.000 0.000 5.832
Sr Li Y
1 1 2
direct
0.000 0.000 0.000
0.500 0.500 0.000
0.000 0.500 0.500
0.500 0.000 0.500
```



[6]
First-principles (GGA-PBE) data for a relaxed ZrAuN3 crystal, as listed in Alexandria.

Values from the calculation:
- total magnetization (μB per formula unit) = 3.421
- space-group type = No. 221
- total energy (eV per atom) = -6.188

Structure (POSCAR):
```
ZrAuN3
1.0
4.248 0.000 0.000
0.000 4.248 0.000
0.000 0.000 4.248
Zr Au N
1 1 3
direct
0.000 0.000 0.000
0.500 0.500 0.500
0.000 0.000 0.500
0.000 0.500 0.000
0.500 0.000 0.000
```



[7]
First-principles (GGA-PBE) data for a relaxed P2IrRhS crystal, as listed in Alexandria.

Values from the calculation:
- total magnetization (μB per formula unit) = 0.000
- energy above the lowest structure with this stoichiometry (kJ per mole of atoms) = 13.28
- space-group type = No. 123
- total energy (eV per atom) = -5.180

Structure (POSCAR):
```
P2IrRhS
1.0
4.430 0.000 0.000
0.000 4.430 0.000
0.000 0.000 4.666
P Ir Rh S
2 1 1 1
direct
0.000 0.500 0.000
0.500 0.000 0.000
0.000 0.000 0.500
0.500 0.500 0.000
0.500 0.500 0.500
```



[8]
First-principles (GGA-PBE) data for a relaxed Tb4PmRh2 crystal, as listed in Alexandria.

Values from the calculation:
- energy of formation from the pure elements (eV/atom) = -0.4518
- total magnetization (μB per formula unit) = 0.000
- space-group type = No. 11
- total energy (eV per atom) = -5.877

Structure (POSCAR):
```
Tb4PmRh2
1.0
7.868 0.000 0.000
0.000 6.490 0.000
-3.080 0.000 7.274
Tb Pm Rh
8 2 4
direct
0.117 0.250 0.484
0.163 0.750 0.249
0.260 0.503 0.910
0.260 0.997 0.910
0.740 0.003 0.090
0.740 0.497 0.090
0.837 0.250 0.751
0.883 0.750 0.516
0.475 0.250 0.343
0.525 0.750 0.657
0.089 0.250 0.128
0.491 0.250 0.761
0.509 0.750 0.239
0.911 0.750 0.872
```